A geometry-optimized CdWAu2 structure. Source: Alexandria, functional PBE-GGA.

Lattice parameters (Å, degrees): 5.9060 5.9060 5.9060 152.50 129.21 58.72
Fractional positions:
Cd (0.0000, 0.0000, 0.0000)
W (0.7462, 0.2462, 0.5000)
Au (0.2572, 0.7572, 0.5000)
Au (0.5114, 0.5114, 0.0000)

Values from the calculation:
Offset from the most stable computed form ... 0.220 eV per atom
Spin magnetization ... 0.0 μB/f.u.
Space-group type ... Imm2
Total DFT energy (no corrections) ... -4.71 eV/atom
Calculated formation energy ... 1.60 eV/f.u.
N(E_F) ... 2.74 states/eV per cell